No. 1
This record from Alexandria via LeMat-Bulk describes an optimized crystal structure of SbPPd4. The functional is PBE.

Calculated values
The symmetry is No. 14. The polymorph energy (0 for the lowest one) is 0.031 eV/atom. The density is 9.5 g/cm3. Its energy relative to the elements, uncorrected is -2.23 eV per formula unit. The size of the total moment comes out at 0.00 μB/atom.

Unit cell a=4.8278 b=5.5604 c=7.6063 alpha=90.00 beta=82.62 gamma=90.00
Closest atoms and distances in Å follow each position.
Positions (direct):
Sb 0.0000 0.0000 0.0000  8 Pd 2.71-2.91
Sb 0.5000 0.5000 0.0000  8 Pd 2.71-2.91
P 0.5000 0.0000 0.5000  6 Pd 2.35-2.43
P 0.0000 0.5000 0.5000  6 Pd 2.35-2.43
Pd 0.9704 0.5906 0.1955  1 P 2.39
Pd 0.5296 0.0906 0.8045  1 P 2.39
Pd 0.4368 0.3806 0.3521  2 P 2.35-2.43
Pd 0.0632 0.8806 0.6479  2 P 2.35-2.43
Pd 0.0296 0.4094 0.8045  1 P 2.39
Pd 0.4704 0.9094 0.1955  1 P 2.39
Pd 0.5632 0.6194 0.6479  2 P 2.35-2.43
Pd 0.9368 0.1194 0.3521  2 P 2.35-2.43

***

No. 2
This record from Alexandria via LeMat-Bulk describes an optimized crystal structure of Li3AgCl4. The functional is PBE.

Calculated values
The symmetry is No. 65. The polymorph energy (0 for the lowest one) is 0.042 eV/atom. The density is 3.0 g/cm3. Its energy relative to the elements, uncorrected is -11.52 eV per formula unit. The size of the total moment comes out at 0.00 μB/atom.

Unit cell a=3.7286 b=6.5229 c=6.5229 alpha=109.62 beta=90.00 gamma=90.00
Closest atoms and distances in Å follow each position.
Positions (direct):
Li 0.0000 0.0000 0.5000  6 Cl 2.65-2.67
Li 0.5000 0.5000 0.5000  6 Cl 2.56-2.58
Li 0.0000 0.5000 0.0000  6 Cl 2.65-2.67
Ag 0.5000 0.0000 0.0000  6 Cl 2.74-2.76
Cl 0.0000 0.2676 0.2676  4 Li 2.56-2.67, 2 Ag 2.74
Cl 0.5000 0.7416 0.2584  5 Li 2.58-2.65, 1 Ag 2.76
Cl 0.0000 0.7324 0.7324  4 Li 2.56-2.67, 2 Ag 2.74
Cl 0.5000 0.2584 0.7416  5 Li 2.58-2.65, 1 Ag 2.76

***

No. 3
This record from Alexandria via LeMat-Bulk describes an optimized crystal structure of NaNdF4. The functional is PBE.

Calculated values
The symmetry is No. 1. The density is 4.9 g/cm3. Its energy relative to the elements, uncorrected is -22.07 eV per formula unit. The size of the total moment comes out at 0.01 μB/atom.

Unit cell a=6.1716 b=7.1894 c=7.1956 alpha=62.72 beta=64.74 gamma=64.78
Closest atoms and distances in Å follow each position.
Positions (direct):
Na 0.6655 0.4778 0.1718  6 F 2.30-2.52
Na 0.6632 0.0001 0.6855  6 F 2.30-2.43
Na 0.3303 0.4308 0.9040  6 F 2.39-2.61
Nd 0.0029 0.9987 0.9984  9 F 2.37-2.48
Nd 0.9973 0.4997 0.5054  9 F 2.38-2.50
Nd 0.3368 0.9215 0.4085  9 F 2.41-2.45
F 0.3619 0.5450 0.5004  2 Nd 2.39-2.42, 2 Na 2.41-2.57
F 0.3655 0.0051 0.0333  2 Nd 2.38-2.42, 1 Na 2.40
F 0.5929 0.7087 0.6561  2 Nd 2.38-2.42, 2 Na 2.43-2.61
F 0.5966 0.1637 0.1954  2 Nd 2.38-2.41, 1 Na 2.39
F 0.0390 0.2796 0.3182  2 Nd 2.39-2.43, 1 Na 2.52
F 0.0482 0.8218 0.7696  2 Na 2.36-2.58, 2 Nd 2.37-2.42
F 0.2555 0.6240 0.1308  2 Na 2.38-2.39, 2 Nd 2.44
F 0.2779 0.1304 0.6248  1 Na 2.31, 3 Nd 2.45-2.48
F 0.9802 0.3800 0.8845  2 Na 2.30-2.41, 2 Nd 2.42-2.43
F 0.9763 0.8882 0.3840  1 Na 2.41, 3 Nd 2.42-2.48, 1 F 2.69
F 0.7550 0.7339 0.2322  1 Na 2.39, 3 Nd 2.43-2.50
F 0.7552 0.2432 0.7451  2 Na 2.30-2.42, 2 Nd 2.42-2.43

***

Number 1 is which compound?
SbPPd4

***

The highest energy relative to the elements, uncorrected belongs to which entry?
SbPPd4